A geometry-optimized Mn2GeO4 structure. Source: Alexandria, functional PBE with a Hubbard U.

## Properties
* energy relative to the lowest polymorph listed for this composition: 40 meV/atom
* volume: 652 Å³/cell

Lattice parameters (Å, degrees): 8.6708 8.6708 8.6708 90.00 90.00 90.00
Closest atoms and distances in Å follow each position.
Space group Fd-3m (No. 227, origin choice 2)
Asymmetric unit:
Mn (0.0000, 0.0000, 0.0000) x16  6 O 2.21
Ge (0.1250, 0.1250, 0.6250) x8  4 O 1.81
O (0.0045, 0.0045, 0.7455) x32  1 Ge 1.81